[1]
Here is crystalline Mg2C at its relaxed geometry from the Alexandria database. Energies are from PBE-GGA.

```
Mg2C
1.0
0.000 3.770 3.770
3.770 0.000 3.770
3.770 3.770 0.000
C Mg
2 4
direct
0.500 0.500 0.500
0.750 0.750 0.750
0.625 0.125 0.125
0.125 0.125 0.125
0.125 0.125 0.625
0.125 0.625 0.125
```


[2]
Here is crystalline Tb2PaCu at its relaxed geometry from the Alexandria database. Energies are from PBE-GGA.

```
Tb2PaCu
1.0
-2.239 -1.586 -1.745
-1.933 -2.185 1.437
-8.690 6.640 2.085
Tb Cu Pa
2 1 1
direct
0.901 0.901 0.296
0.099 0.099 0.704
0.500 0.500 0.500
0.000 0.000 0.000
```


[3]
Here is crystalline Pm2ZnIn2 at its relaxed geometry from the Alexandria database. Energies are from PBE-GGA.

```
Pm2ZnIn2
1.0
-1.157 -3.806 2.580
-2.112 -4.621 -3.407
8.853 -5.078 0.836
In Pm Zn
4 4 2
direct
0.354 0.168 0.124
0.076 0.278 0.570
0.924 0.722 0.430
0.646 0.832 0.876
0.085 0.736 0.094
0.685 0.290 0.339
0.915 0.264 0.906
0.315 0.710 0.661
0.615 0.110 0.660
0.385 0.890 0.340
```


[4]
Here is crystalline K2AlRe at its relaxed geometry from the Alexandria database. Energies are from PBE-GGA.

```
K2AlRe
1.0
3.868 0.000 0.000
0.000 3.868 0.000
1.934 1.934 12.019
Al K Re
2 4 2
direct
0.500 0.500 0.000
0.250 0.750 0.500
0.625 0.125 0.250
0.125 0.625 0.250
0.375 0.375 0.750
0.875 0.875 0.750
0.000 0.000 0.000
0.750 0.250 0.500
```


no.,formation energy (eV per atom)
1,1.9280
2,0.3247
3,-0.4454
4,1.2563